A geometry-optimized RbBiSeN2 structure, computed with PBE.

Summary:
- Offset from the most stable computed form: 0.0000 eV per atom
- Space-group type: P4/mmm, No. 123
- ΔE_f (raw): 22.6 kcal/mol of atoms

Lattice parameters (Å, degrees): 4.7925 4.7925 5.6957 90.00 90.00 90.00
Closest atoms and distances in Å follow each position.
Positions (direct):
Rb1 0.5000 0.5000 0.5000  4 Se 3.39, 8 N 3.72
Bi1 0.0000 0.0000 0.0000  4 N 2.40
N1 0.0000 0.5000 0.0000  2 Bi 2.40
N2 0.5000 0.0000 0.0000  2 Bi 2.40
Se1 0.0000 0.0000 0.5000  2 Bi 2.85